{
  "formula": "Ac2GaSn3Pt4",
  "functional": "PBE",
  "state": "optimized geometry",
  "cell": [[-0.715, -4.073, -2.182], [4.617, -0.542, -0.503], [0.421, -5.073, 9.330]],
  "species": ["Ac", "Ac", "Ga", "Sn", "Sn", "Sn", "Pt", "Pt", "Pt", "Pt"],
  "fractional_positions": [[0.500, 0.000, 0.250], [0.000, 0.500, 0.750], [0.500, 0.500, 0.500], [0.000, 0.000, 0.500], [0.500, 0.000, 0.873], [0.000, 0.500, 0.127], [0.500, 0.500, 0.000], [0.000, 0.000, 0.000], [0.500, 0.000, 0.623], [0.000, 0.500, 0.377]],
  "magnetic_moment_mub_per_fu": 0.000,
  "total_energy_ev_per_atom": -5.66,
  "ef_mev_per_atom": -915,
  "crystal_system": "tetragonal",
  "vol_a3_per_fu": 232
}